(i)
The following is a DFT calculation (GGA-PBE) of crystalline SnAu3Cl at its relaxed geometry.

Properties
Its density of states at the Fermi level is 5.3 states/eV per cell. As for the space group: Pm-3m. The calculation puts the magnetization at 0.000 μB/f.u.

abc: 5.0047 5.0047 5.0047
angles: 90.00 90.00 90.00
With the nearest neighbours (Å) after each atom.
Fractional positions:
Sn1 0.0000 0.0000 0.0000  12 Au 3.54
Au1 0.0000 0.5000 0.5000  2 Cl 2.50
Au2 0.5000 0.0000 0.5000  2 Cl 2.50
Au3 0.5000 0.5000 0.0000  2 Cl 2.50
Cl1 0.5000 0.5000 0.5000  6 Au 2.50



(ii)
The following is a DFT calculation (GGA-PBE) of crystalline SnAu3Cl at its relaxed geometry.

Properties
Its density of states at the Fermi level is 7.1 states/eV per cell. As for the space group: Pm-3m. The calculation puts the magnetization at 0.000 μB/f.u.

abc: 5.2506 5.2506 5.2506
angles: 90.00 90.00 90.00
With the nearest neighbours (Å) after each atom.
Fractional positions:
Sn1 0.0000 0.0000 0.0000  6 Au 2.63
Au1 0.0000 0.0000 0.5000  2 Sn 2.63
Au2 0.0000 0.5000 0.0000  2 Sn 2.63
Au3 0.5000 0.0000 0.0000  2 Sn 2.63
Cl1 0.5000 0.5000 0.5000  12 Au 3.71



Most stable to least stable: (ii), (i)



(i)
The following is a DFT calculation (GGA-PBE) of crystalline SrAuCl at its relaxed geometry.

Properties
Its density of states at the Fermi level is 0.0 states/eV per cell. As for the space group: F-43m. The calculation puts the magnetization at 0.000 μB/f.u.

abc: 5.1369 5.1369 5.1369
angles: 60.00 60.00 60.00
With the nearest neighbours (Å) after each atom.
Fractional positions:
Sr1 0.0000 0.0000 0.0000  4 Cl 3.15, 4 Au 3.15
Au1 0.2500 0.2500 0.2500  4 Sr 3.15
Cl1 0.7500 0.7500 0.7500  4 Sr 3.15



(ii)
The following is a DFT calculation (GGA-PBE) of crystalline SrAuCl at its relaxed geometry.

Properties
Its density of states at the Fermi level is 0.0 states/eV per cell. As for the space group: F-43m. The calculation puts the magnetization at 0.000 μB/f.u.

abc: 5.1342 5.1342 5.1342
angles: 60.00 60.00 60.00
With the nearest neighbours (Å) after each atom.
Fractional positions:
Sr1 0.0000 0.0000 0.0000  4 Au 3.14
Au1 0.2500 0.2500 0.2500  4 Cl 3.14, 4 Sr 3.14
Cl1 0.5000 0.5000 0.5000  4 Au 3.14



Most stable to least stable: (i), (ii)



(i)
The following is a DFT calculation (GGA-PBE) of crystalline SrAu2Cl at its relaxed geometry.

Properties
Its density of states at the Fermi level is 0.2 states/eV per cell. As for the space group: P4/mmm. The calculation puts the magnetization at 0.000 μB/f.u.

abc: 4.5120 4.5120 5.4636
angles: 90.00 90.00 90.00
With the nearest neighbours (Å) after each atom.
Fractional positions:
Sr1 0.0000 0.0000 0.0000  2 Cl 2.73
Au1 0.5000 0.5000 0.2493  2 Au 2.72-2.74
Au2 0.5000 0.5000 0.7507  2 Au 2.72-2.74
Cl1 0.0000 0.0000 0.5000  2 Sr 2.73



(ii)
The following is a DFT calculation (GGA-PBE) of crystalline SrAu2Cl at its relaxed geometry.

Properties
Its density of states at the Fermi level is 0.7 states/eV per cell. As for the space group: Imm2. The calculation puts the magnetization at 0.000 μB/f.u.

abc: 5.4739 5.4739 5.4739
angles: 123.86 108.45 97.27
With the nearest neighbours (Å) after each atom.
Fractional positions:
Sr1 0.0000 0.0000 0.0000  2 Cl 2.89, 1 Au 3.08
Au1 0.5743 0.5743 0.0000  2 Au 2.62
Au2 0.6428 0.1428 0.5000  2 Au 2.62
Cl1 0.1823 0.6823 0.5000  2 Sr 2.89



Most stable to least stable: (ii), (i)



(i)
The following is a DFT calculation (GGA-PBE) of crystalline SrAu3Cl at its relaxed geometry.

Properties
Its density of states at the Fermi level is 0.8 states/eV per cell. As for the space group: Pm-3m. The calculation puts the magnetization at 2.000 μB/f.u.

abc: 5.8621 5.8621 5.8621
angles: 90.00 90.00 90.00
With the nearest neighbours (Å) after each atom.
Fractional positions:
Sr1 0.0000 0.0000 0.0000  6 Au 2.93
Au1 0.0000 0.0000 0.5000  2 Sr 2.93
Au2 0.0000 0.5000 0.0000  2 Sr 2.93
Au3 0.5000 0.0000 0.0000  2 Sr 2.93
Cl1 0.5000 0.5000 0.5000  12 Au 4.15



(ii)
The following is a DFT calculation (GGA-PBE) of crystalline SrAu3Cl at its relaxed geometry.

Properties
Its density of states at the Fermi level is 3.5 states/eV per cell. As for the space group: Pm-3m. The calculation puts the magnetization at 0.000 μB/f.u.

abc: 5.1465 5.1465 5.1465
angles: 90.00 90.00 90.00
With the nearest neighbours (Å) after each atom.
Fractional positions:
Sr1 0.0000 0.0000 0.0000  12 Au 3.64
Au1 0.0000 0.5000 0.5000  2 Cl 2.57
Au2 0.5000 0.0000 0.5000  2 Cl 2.57
Au3 0.5000 0.5000 0.0000  2 Cl 2.57
Cl1 0.5000 0.5000 0.5000  6 Au 2.57



Most stable to least stable: (ii), (i)



(i)
The following is a DFT calculation (GGA-PBE) of crystalline TaAuCl2 at its relaxed geometry.

Properties
Its density of states at the Fermi level is 2.9 states/eV per cell. As for the space group: Cmmm. The calculation puts the magnetization at 0.001 μB/f.u.

abc: 5.0602 5.0602 3.0382
angles: 90.00 90.00 108.22
With the nearest neighbours (Å) after each atom.
Fractional positions:
Ta1 0.0000 0.0000 0.0000  8 Cl 2.95, 2 Au 2.97, 2 Ta 3.04
Au1 0.5000 0.5000 0.0000  8 Cl 2.95, 2 Ta 2.97, 2 Au 3.04
Cl1 0.0000 0.5000 0.5000  4 Ta 2.95, 4 Au 2.95, 4 Cl 2.97-3.04
Cl2 0.5000 0.0000 0.5000  4 Ta 2.95, 4 Au 2.95, 4 Cl 2.97-3.04



(ii)
The following is a DFT calculation (GGA-PBE) of crystalline TaAuCl2 at its relaxed geometry.

Properties
Its density of states at the Fermi level is 1.8 states/eV per cell. As for the space group: P4/mmm. The calculation puts the magnetization at 0.000 μB/f.u.

abc: 2.9795 2.9795 9.6539
angles: 90.00 90.00 90.00
With the nearest neighbours (Å) after each atom.
Fractional positions:
Ta1 0.0000 0.0000 0.0000  8 Cl 2.62
Au1 0.0000 0.0000 0.5000  4 Au 2.98
Cl1 0.5000 0.5000 0.1605  4 Ta 2.62
Cl2 0.5000 0.5000 0.8395  4 Ta 2.62



(iii)
The following is a DFT calculation (GGA-PBE) of crystalline TaAuCl2 at its relaxed geometry.

Properties
Its density of states at the Fermi level is 0.9 states/eV per cell. As for the space group: R-3m. The calculation puts the magnetization at 0.000 μB/f.u.

abc: 11.2522 11.2522 11.2522
angles: 15.54 15.54 15.54
With the nearest neighbours (Å) after each atom.
Fractional positions:
Ta1 0.0000 0.0000 0.0000  6 Cl 2.54
Au1 0.5000 0.5000 0.5000  6 Au 3.04
Cl1 0.2785 0.2785 0.2785  3 Ta 2.54
Cl2 0.7215 0.7215 0.7215  3 Ta 2.54



Most stable to least stable: (iii), (ii), (i)



(i)
The following is a DFT calculation (GGA-PBE) of crystalline TaAuCl2 at its relaxed geometry.

Properties
Its density of states at the Fermi level is 1.7 states/eV per cell. As for the space group: I4/mmm. The calculation puts the magnetization at 0.000 μB/f.u.

abc: 5.0573 5.0573 5.0573
angles: 131.37 131.37 71.23
With the nearest neighbours (Å) after each atom.
Fractional positions:
Ta1 0.0000 0.0000 0.0000  8 Cl 2.93, 4 Au 2.95
Au1 0.5000 0.5000 0.0000  8 Cl 2.93, 4 Ta 2.95
Cl1 0.2500 0.7500 0.5000  4 Au 2.93, 4 Ta 2.93, 4 Cl 2.95
Cl2 0.7500 0.2500 0.5000  4 Au 2.93, 4 Ta 2.93, 4 Cl 2.95



(ii)
The following is a DFT calculation (GGA-PBE) of crystalline TaAuCl2 at its relaxed geometry.

Properties
Its density of states at the Fermi level is 2.5 states/eV per cell. As for the space group: Fm-3m. The calculation puts the magnetization at 0.000 μB/f.u.

abc: 4.6372 4.6372 4.6372
angles: 60.00 60.00 60.00
With the nearest neighbours (Å) after each atom.
Fractional positions:
Ta1 0.0000 0.0000 0.0000  8 Cl 2.84
Au1 0.5000 0.5000 0.5000  8 Cl 2.84
Cl1 0.2500 0.2500 0.2500  4 Ta 2.84, 4 Au 2.84
Cl2 0.7500 0.7500 0.7500  4 Au 2.84, 4 Ta 2.84



(iii)
The following is a DFT calculation (GGA-PBE) of crystalline TaAuCl2 at its relaxed geometry.

Properties
Its density of states at the Fermi level is 3.0 states/eV per cell. As for the space group: Imm2. The calculation puts the magnetization at 0.765 μB/f.u.

abc: 7.5344 7.5344 7.5344
angles: 157.29 144.36 42.68
With the nearest neighbours (Å) after each atom.
Fractional positions:
Ta1 0.0000 0.0000 0.0000  6 Cl 2.50-2.75, 2 Au 2.79
Au1 0.1681 0.6681 0.5000  2 Ta 2.79, 2 Au 2.97
Cl1 0.5096 0.5096 0.0000  4 Ta 2.75, 2 Cl 2.97
Cl2 0.8567 0.3567 0.5000  2 Ta 2.50



(iv)
The following is a DFT calculation (GGA-PBE) of crystalline TaAuCl2 at its relaxed geometry.

Properties
Its density of states at the Fermi level is 3.6 states/eV per cell. As for the space group: P4/mmm. The calculation puts the magnetization at 1.081 μB/f.u.

abc: 4.1561 4.1561 4.3799
angles: 90.00 90.00 90.00
With the nearest neighbours (Å) after each atom.
Fractional positions:
Ta1 0.0000 0.0000 0.0000  4 Au 2.94, 8 Cl 3.02
Au1 0.5000 0.5000 0.0000  4 Ta 2.94, 8 Cl 3.02
Cl1 0.0000 0.5000 0.5000  4 Cl 2.94, 4 Ta 3.02, 4 Au 3.02
Cl2 0.5000 0.0000 0.5000  4 Cl 2.94, 4 Ta 3.02, 4 Au 3.02



Most stable to least stable: (iii), (i), (ii), (iv)